(1)
Material: Rb2TcIrF6
Method: DFT, GGA-PBE
State: relaxed

Cell: 7.020 7.020 8.065 Å, 90.00 90.00 90.00°
Space group I4/mmm (No. 139)
Inequivalent atoms, fractional coordinates:
Rb (0.000, 0.500, 0.250) [4 per cell]
Tc (0.000, 0.000, 0.000) [2 per cell]
Ir (0.000, 0.000, 0.500) [2 per cell]
F (0.000, 0.000, 0.249) [4 per cell]
F (0.200, 0.200, 0.000) [8 per cell]

Calculated values
As for the density of states at the Fermi level: 0.000 states/eV per atom. The value obtained for the theoretical density is 4.81 Mg/m³. For the uncorrected formation energy, the calculation gives -1.652 eV/atom.

(2)
Material: Dy2MgAl2Rh5
Method: DFT, GGA-PBE
State: relaxed

Cell: 9.970 9.970 3.437 Å, 90.00 90.00 90.00°
Space group P4/mbm (No. 127)
Inequivalent atoms, fractional coordinates:
Dy (0.175, 0.325, 0.000) [4 per cell]
Mg (0.000, 0.000, 0.000) [2 per cell]
Al (0.124, 0.624, 0.000) [4 per cell]
Rh (0.000, 0.500, 0.500) [2 per cell]
Rh (0.068, 0.793, 0.500) [8 per cell]

Calculated values
As for the density of states at the Fermi level: 0.417 states/eV per atom. Its energy relative to the elements is -0.82 eV per atom. The value obtained for the theoretical density is 8.92 Mg/m³.